{"formula": "RbAc2NbO6", "functional": "PBE", "state": "relaxed", "n_ef_per_ev_cell": 0.000, "formation_energy_uncorrected_mev_per_atom": -2674, "final_energy_ev_per_atom": -7.5742, "lattice": [[-1.430, -4.522, 3.736], [1.697, -3.805, -3.956], [5.318, 0.113, 2.172]], "species": ["O", "O", "O", "O", "Ac", "O", "Nb", "Ac", "O", "Rb"], "frac_coords": [[0.301, 0.000, 0.000], [0.076, 0.500, 0.500], [0.748, 0.222, 0.222], [0.748, 0.778, 0.778], [0.976, 0.000, 0.500], [0.748, 0.222, 0.778], [0.617, 0.000, 0.000], [0.976, 0.500, 0.000], [0.748, 0.778, 0.222], [0.510, 0.500, 0.500]]}